Material: ZrHIr3
Method: DFT, GGA-PBE
State: relaxed

POSCAR file:
```
ZrHIr3
1.0
-3.4150 0.4981 2.0839
1.7699 -1.5541 3.2718
1.2076 3.6864 1.0977
Ir Zr H
3 1 1
Cartesian
0.6038 1.8432 0.5489 Ir
0.8850 -0.7770 1.6359 Ir
-1.7075 0.2490 1.0420 Ir
-0.2187 1.3152 3.2268 Zr
0.0000 0.0000 0.0000 H
```

**ρ**: 16.95 Mg/m³
**Final energy**: -8.237 eV per atom
**Relative energy among the computed polymorphs**: 0.002 eV/atom
**Total magnetic moment**: 0.000 μB/f.u.